No. 1
This record from Alexandria describes KTe2Au2 after structural relaxation. The functional is PBEsol.

Cell: 6.7818 6.7818 6.7818 Å, 132.52 132.52 69.42°
Fractional positions:
K: 0.0000 0.0000 0.0000
Te: 0.2500 0.7500 0.5000
Te: 0.7500 0.2500 0.5000
Au: 0.2886 0.2886 0.0000
Au: 0.7114 0.7114 0.0000

Formation energy (no corrections) in eV/atom: -0.26

***

No. 2
This record from Alexandria describes NaTaNi2 after structural relaxation. The functional is PBEsol.

Cell: 4.2900 4.2900 4.2900 Å, 60.00 60.00 60.00°
Fractional positions:
Na: 0.0000 0.0000 0.0000
Ta: 0.5000 0.5000 0.5000
Ni: 0.2500 0.2500 0.2500
Ni: 0.7500 0.7500 0.7500

Energy of formation from the pure elements in eV per formula unit: 1.659

***

No. 3
This record from Alexandria describes LiCdSb2 after structural relaxation. The functional is PBEsol.

Cell: 4.6583 4.6583 4.2337 Å, 90.00 90.00 90.00°
Fractional positions:
Li: 0.0000 0.0000 0.0000
Cd: 0.5000 0.5000 0.0000
Sb: 0.0000 0.5000 0.5000
Sb: 0.5000 0.0000 0.5000

Formation energy (no corrections) in eV/atom: -0.15

***

No. 4
This record from Alexandria describes RuSe8 after structural relaxation. The functional is PBEsol.

Cell: 8.4742 8.4742 8.4742 Å, 92.52 92.52 155.78°
Fractional positions:
Ru: 0.0000 0.0000 0.0000
Se: 0.0000 0.2023 0.2023
Se: 0.0000 0.7977 0.7977
Se: 0.2023 0.0000 0.2023
Se: 0.3126 0.3126 0.6252
Se: 0.3126 0.6874 0.0000
Se: 0.6874 0.3126 0.0000
Se: 0.6874 0.6874 0.3748
Se: 0.7977 0.0000 0.7977

Formation energy (no corrections) in eV/atom: 0.29

***

no.,calculated density (kg/m³),total magnetic moment (μB/atom),Fermi-level density of states (states/eV/cell)
1,6874,0.000,1.4
2,9557,0.000,2.9
3,6559,0.000,1.6
4,4984,0.000,7.5